Record 1
Compound: Sr2CaAgO4
Source: Alexandria via LeMat-Bulk
Functional: PBE-GGA
Structure: optimized geometry

a b c (Å): 3.438 6.526 6.364
angles (deg): 116.32 90.00 90.00
Last column: magnetic moment on the atom in μB.
Atoms (fractional coordinates):
Sr 0.500 0.000 0.500  0.00
O 0.000 0.711 0.264  0.00
Ca 0.500 0.500 0.000  0.00
Sr 0.000 0.500 0.500  0.02
Ag 0.000 0.000 0.000  0.31
O 0.500 0.225 0.219  0.25
O 0.500 0.775 0.781  0.25
O 0.000 0.289 0.736  0.00

- DOS at the Fermi energy: 1.8 states/eV/cell
- Total DFT energy (no corrections): -5.571 eV per atom
- Energy relative to the elements, uncorrected: -2.07 eV per atom

Record 2
Compound: ZrAg8
Source: Alexandria via LeMat-Bulk
Functional: PBE-GGA
Structure: optimized geometry

a b c (Å): 6.644 6.644 8.920
angles (deg): 47.84 47.84 84.33
Atoms (fractional coordinates):
Ag 0.666 0.334 0.000
Ag 0.333 0.667 0.667
Ag 0.000 0.000 0.334
Zr 0.000 0.000 0.000
Ag 0.000 0.000 0.666
Ag 0.333 0.667 0.333
Ag 0.667 0.333 0.667
Ag 0.667 0.333 0.333
Ag 0.334 0.666 0.000

- DOS at the Fermi energy: 5.6 states/eV/cell
- Total DFT energy (no corrections): -3.409 eV per atom
- Formation energy: 0.08 eV per atom

Record 3
Compound: Fe2Ni4Pt5
Source: Alexandria via LeMat-Bulk
Functional: PBE-GGA
Structure: optimized geometry

a b c (Å): 3.955 5.580 13.588
angles (deg): 90.00 90.00 90.00
Last column: magnetic moment on the atom in μB.
Atoms (fractional coordinates):
Ni 0.500 0.299 0.547  0.61
Pt 0.000 0.415 0.404  0.34
Ni 0.500 0.385 0.879  0.73
Pt 0.000 0.000 0.500  0.29
Pt 0.000 0.654 0.807  0.33
Pt 0.000 0.154 0.693  0.33
Fe 0.500 0.478 0.709  3.05
Ni 0.500 0.201 0.047  0.61
Ni 0.500 0.701 0.453  0.61
Ni 0.500 0.799 0.953  0.61
Pt 0.000 0.915 0.096  0.34
Ni 0.500 0.615 0.121  0.73
Ni 0.500 0.115 0.379  0.73
Pt 0.000 0.085 0.904  0.34
Pt 0.000 0.846 0.307  0.33
Fe 0.500 0.022 0.209  3.05
Fe 0.500 0.522 0.291  3.05
Ni 0.500 0.885 0.621  0.73
Pt 0.000 0.346 0.193  0.33
Pt 0.000 0.585 0.596  0.34
Pt 0.000 0.500 0.000  0.29
Fe 0.500 0.978 0.791  3.05

- DOS at the Fermi energy: 18.9 states/eV/cell
- Total DFT energy (no corrections): -6.458 eV per atom
- Formation energy: -0.07 eV per atom

Record 4
Compound: SrCaY2
Source: Alexandria via LeMat-Bulk
Functional: PBE-GGA
Structure: optimized geometry

a b c (Å): 7.204 7.204 7.204
angles (deg): 147.36 130.71 60.38
Atoms (fractional coordinates):
Ca 0.750 0.250 0.500
Y 0.987 0.987 0.000
Y 0.513 0.513 0.000
Sr 0.250 0.750 0.500

- DOS at the Fermi energy: 6.9 states/eV/cell
- Total DFT energy (no corrections): -3.965 eV per atom
- Formation energy: 0.19 eV per atom

Record 5
Compound: Tb3PrSmSc
Source: Alexandria via LeMat-Bulk
Functional: PBE-GGA
Structure: optimized geometry

a b c (Å): 5.024 7.944 10.022
angles (deg): 90.00 90.00 108.43
Atoms (fractional coordinates):
Tb 0.170 0.341 0.750
Pr 0.000 0.000 0.000
Tb 0.669 0.338 0.001
Pr 0.000 0.000 0.500
Tb 0.331 0.662 0.501
Sm 0.502 0.005 0.250
Tb 0.669 0.338 0.499
Sc 0.168 0.336 0.250
Tb 0.830 0.659 0.250
Tb 0.331 0.662 0.999
Sc 0.832 0.664 0.750
Sm 0.498 0.995 0.750

- DOS at the Fermi energy: 18.4 states/eV/cell
- Total DFT energy (no corrections): -4.914 eV per atom
- Formation energy: 0.04 eV per atom

Record 6
Compound: PuGaHgPb
Source: Alexandria via LeMat-Bulk
Functional: PBE-GGA
Structure: optimized geometry

a b c (Å): 5.238 5.238 5.238
angles (deg): 60.00 60.00 60.00
Last column: magnetic moment on the atom in μB.
Atoms (fractional coordinates):
Hg 0.750 0.750 0.750  -0.01
Ga 0.250 0.250 0.250  0.01
Pb 0.000 0.000 0.000  -0.04
Pu 0.500 0.500 0.500  5.45

- DOS at the Fermi energy: 13.8 states/eV/cell
- Total DFT energy (no corrections): -5.414 eV per atom
- Formation energy: -0.07 eV per atom

Record 7
Compound: Sn2Ge2Br
Source: Alexandria via LeMat-Bulk
Functional: PBE-GGA
Structure: optimized geometry

a b c (Å): 8.475 8.475 3.483
angles (deg): 90.00 90.00 90.00
Atoms (fractional coordinates):
Ge 0.643 0.143 0.000
Sn 0.648 0.852 0.500
Sn 0.148 0.648 0.500
Ge 0.857 0.643 0.000
Sn 0.352 0.148 0.500
Ge 0.357 0.857 0.000
Sn 0.852 0.352 0.500
Br 0.500 0.500 0.000
Ge 0.143 0.357 0.000
Br 0.000 0.000 0.000

- DOS at the Fermi energy: 3.9 states/eV/cell
- Total DFT energy (no corrections): -3.681 eV per atom
- Energy relative to the elements, uncorrected: 0.10 eV per atom

Record 8
Compound: TbPmNdY2
Source: Alexandria via LeMat-Bulk
Functional: PBE-GGA
Structure: optimized geometry

a b c (Å): 6.651 8.408 6.169
angles (deg): 90.24 90.00 90.00
Atoms (fractional coordinates):
Nd 0.000 0.000 0.000
Y 0.690 0.306 0.749
Tb 0.573 0.000 0.250
Pm 0.166 0.500 0.750
Tb 0.427 0.000 0.750
Y 0.310 0.694 0.251
Nd 0.000 0.000 0.500
Y 0.690 0.694 0.751
Y 0.310 0.306 0.249
Pm 0.834 0.500 0.250

- DOS at the Fermi energy: 15.0 states/eV/cell
- Total DFT energy (no corrections): -5.134 eV per atom
- Formation energy: 0.28 eV per atom

Record 9
Compound: LiSc2Rh3
Source: Alexandria via LeMat-Bulk
Functional: PBE-GGA
Structure: optimized geometry

a b c (Å): 4.446 4.446 10.893
angles (deg): 90.00 90.00 120.00
Atoms (fractional coordinates):
Sc 0.667 0.333 0.818
Li 0.333 0.667 0.664
Rh 0.000 0.000 0.748
Sc 0.000 0.000 0.500
Sc 0.333 0.667 0.182
Sc 0.000 0.000 0.000
Rh 0.667 0.333 0.580
Rh 0.000 0.000 0.252
Rh 0.333 0.667 0.420
Li 0.667 0.333 0.336
Rh 0.667 0.333 0.084
Rh 0.333 0.667 0.916

- DOS at the Fermi energy: 4.3 states/eV/cell
- Total DFT energy (no corrections): -6.868 eV per atom
- Formation energy: -0.76 eV per atom

Record 10
Compound: FeW3Br
Source: Alexandria via LeMat-Bulk
Functional: PBE-GGA
Structure: optimized geometry

a b c (Å): 4.542 4.542 4.542
angles (deg): 90.00 90.00 90.00
Atoms (fractional coordinates):
Fe 0.500 0.500 0.500
Br 0.000 0.000 0.000
W 0.000 0.500 0.000
W 0.000 0.000 0.500
W 0.500 0.000 0.000

- DOS at the Fermi energy: 8.3 states/eV/cell
- Total DFT energy (no corrections): -7.234 eV per atom
- Energy relative to the elements, uncorrected: 2.56 eV per atom

Record 11
Compound: Sm2ErScSe5
Source: Alexandria via LeMat-Bulk
Functional: PBE-GGA
Structure: optimized geometry

a b c (Å): 5.098 5.098 10.327
angles (deg): 90.00 90.00 90.00
Atoms (fractional coordinates):
Se 0.000 0.000 0.762
Se 0.000 0.500 0.500
Sm 0.500 0.500 0.293
Er 0.000 0.000 0.500
Se 0.500 0.000 0.500
Sc 0.000 0.000 0.000
Se 0.000 0.000 0.238
Sm 0.500 0.500 0.707
Se 0.500 0.500 0.000

- DOS at the Fermi energy: 6.8 states/eV/cell
- Total DFT energy (no corrections): -5.381 eV per atom
- Energy relative to the elements, uncorrected: -1.19 eV per atom

Record 12
Compound: BaNa2CaAu4
Source: Alexandria via LeMat-Bulk
Functional: PBE-GGA
Structure: optimized geometry

a b c (Å): 5.085 5.085 9.760
angles (deg): 74.90 74.90 60.00
Atoms (fractional coordinates):
Ca 0.500 0.500 0.500
Au 0.127 0.127 0.619
Na 0.241 0.241 0.277
Na 0.759 0.759 0.723
Ba 0.000 0.000 0.000
Au 0.607 0.607 0.180
Au 0.873 0.873 0.381
Au 0.393 0.393 0.820

- DOS at the Fermi energy: 3.6 states/eV/cell
- Total DFT energy (no corrections): -3.012 eV per atom
- Formation energy: -0.55 eV per atom